(1)
Fe2P2Pd: optimized geometry, PBE-GGA.

The structure in POSCAR format:
```
Fe2P2Pd
1.0
6.668 0.000 0.000
0.000 6.668 0.000
0.000 0.000 2.642
Fe P Pd
4 4 2
Cartesian
0.913 2.421 0.000 Fe
2.421 5.755 0.000 Fe
4.247 0.913 0.000 Fe
5.755 4.247 0.000 Fe
1.034 4.368 1.321 P
2.300 1.034 1.321 P
4.368 5.634 1.321 P
5.634 2.300 1.321 P
0.000 0.000 0.000 Pd
3.334 3.334 0.000 Pd
```

Properties
The density of states at the Fermi level is 7.615 states/eV/cell. For the formation energy, the calculation gives -0.212 eV per atom.


(2)
Ho4MgZn3: optimized geometry, PBE-GGA.

The structure in POSCAR format:
```
Ho4MgZn3
1.0
3.629 0.000 0.000
0.000 5.080 0.000
0.000 0.000 10.160
Ho Mg Zn
4 1 3
Cartesian
0.000 0.000 0.000 Ho
0.000 0.000 5.080 Ho
0.000 2.540 2.422 Ho
0.000 2.540 7.738 Ho
1.814 2.540 5.080 Mg
1.814 0.000 2.610 Zn
1.814 0.000 7.550 Zn
1.814 2.540 0.000 Zn
```

Properties
The density of states at the Fermi level is 9.009 states/eV/cell. For the formation energy, the calculation gives -0.265 eV per atom.